# 1
{"formula": "MgInAg14", "functional": "GGA-PBE", "state": "optimized geometry", "energy_ev_per_atom": -2.779, "delta_e_f_mev_per_atom": -13, "crystal_system": "orthorhombic", "mass_density_g_cm3": 9.39, "spacegroup": "Amm2 (38)", "lattice_angstrom": [[5.859, -0.295, 0.000], [-2.568, 5.274, 0.000], [0.000, 0.000, 9.671]], "species": ["In", "Ag", "Ag", "Ag", "Ag", "Ag", "Ag", "Ag", "Ag", "Ag", "Ag", "Ag", "Ag", "Ag", "Ag", "Mg"], "fractional_positions": [[0.548, 0.452, 0.500], [0.205, 0.294, 0.000], [0.877, 0.628, 0.247], [0.205, 0.795, 0.000], [0.374, 0.626, 0.247], [0.546, 0.954, 0.500], [0.372, 0.123, 0.753], [0.705, 0.295, 0.000], [0.372, 0.123, 0.247], [0.874, 0.126, 0.248], [0.877, 0.628, 0.753], [0.374, 0.626, 0.753], [0.874, 0.126, 0.752], [0.706, 0.795, 0.000], [0.046, 0.454, 0.500], [0.046, 0.954, 0.500]]}


# 2
{"formula": "MnIn2Hg", "functional": "GGA-PBE", "state": "optimized geometry", "energy_ev_per_atom": -3.483, "delta_e_f_mev_per_atom": 254, "crystal_system": "tetragonal", "mass_density_g_cm3": 9.15, "spacegroup": "I4/mmm (139)", "lattice_angstrom": [[-1.741, 4.985, -1.768], [-2.306, -0.190, -5.066], [-0.735, -2.909, 4.691]], "species": ["In", "In", "Mn", "Hg"], "fractional_positions": [[0.500, 0.500, 0.000], [0.000, 0.000, 0.000], [0.250, 0.750, 0.500], [0.750, 0.250, 0.500]]}